No. 1
The following is a DFT calculation (PBE) of crystalline BaNd2Er at its relaxed geometry.

abc: 3.6723 3.6723 39.2697
angles: 90.00 90.00 120.00
Space group R-3m (No. 166, hexagonal axes)
One atom of each set of equivalent atoms:
1 Ba 0.0000 0.0000 0.0000
2 Nd 0.0000 0.0000 0.0940
3 Er 0.0000 0.0000 0.5000

## Properties
Total magnetic moment (μB/f.u.): 0.0
Energy relative to the lowest polymorph listed for this composition (eV per atom): 0.080
Energy relative to the elements (eV per formula unit): 0.787

No. 2
The following is a DFT calculation (PBE) of crystalline Li2PIr at its relaxed geometry.

abc: 2.878 4.862 8.762
angles: 90.00 90.00 90.00
Space group Cmm2 (No. 35)
One atom of each set of equivalent atoms:
1 Li 0.000 0.000 0.000
2 Li 0.000 0.500 0.305
3 P 0.000 0.500 0.770
4 Ir 0.000 0.000 0.558

## Properties
Total magnetic moment (μB/f.u.): 0.0
Energy relative to the elements (eV per formula unit): -0.109

No. 3
The following is a DFT calculation (PBE) of crystalline Rb5UO6 at its relaxed geometry.

abc: 6.897 11.853 6.765
angles: 90.00 110.39 90.00
Space group C2/m (No. 12)
One atom of each set of equivalent atoms:
1 Rb 0.000 0.000 0.000
2 Rb 0.000 0.167 0.500
3 Rb 0.000 0.335 0.000
4 U 0.000 0.500 0.500
5 O 0.180 0.500 0.310
6 O 0.188 0.377 0.696

## Properties
Total magnetic moment (μB/f.u.): 1.2
Formation energy without anion corrections (eV per atom): -1.991

No. 4
The following is a DFT calculation (PBE) of crystalline Ca2MnCo at its relaxed geometry.

abc: 3.493 4.972 10.457
angles: 90.00 90.00 90.00
Space group Imm2 (No. 44)
One atom of each set of equivalent atoms:
1 Ca 0.000 0.000 0.000
2 Ca 0.000 0.500 0.208
3 Mn 0.000 0.000 0.408
4 Co 0.000 0.500 0.762

## Properties
Total magnetic moment (μB/f.u.): 4.5
Energy relative to the lowest polymorph listed for this composition (eV per atom): 0.057
Energy relative to the elements (eV per formula unit): 1.257